Entry from Alexandria via LeMat-Bulk: a relaxed Bi2P3O12 crystal (PBEsol).

Results
Its crystal system is trigonal. The distance to the lowest polymorph of the same formula is 0.00 eV per formula unit. Its energy is -6.91 eV/atom.

Unit cell a=9.377 b=9.377 c=9.377 alpha=54.46 beta=54.46 gamma=54.46
Element x y z (fractional)
Bi 0.144 0.144 0.144
Bi 0.344 0.344 0.344
Bi 0.656 0.656 0.656
Bi 0.856 0.856 0.856
P 0.049 0.451 0.746
P 0.254 0.951 0.549
P 0.451 0.746 0.049
P 0.549 0.254 0.951
P 0.746 0.049 0.451
P 0.951 0.549 0.254
O 0.039 0.591 0.790
O 0.139 0.856 0.753
O 0.144 0.247 0.861
O 0.152 0.531 0.200
O 0.164 0.495 0.530
O 0.200 0.152 0.531
O 0.210 0.961 0.409
O 0.247 0.861 0.144
O 0.409 0.210 0.961
O 0.469 0.800 0.848
O 0.470 0.836 0.505
O 0.495 0.530 0.164
O 0.505 0.470 0.836
O 0.530 0.164 0.495
O 0.531 0.200 0.152
O 0.591 0.790 0.039
O 0.753 0.139 0.856
O 0.790 0.039 0.591
O 0.800 0.848 0.469
O 0.836 0.505 0.470
O 0.848 0.469 0.800
O 0.856 0.753 0.139
O 0.861 0.144 0.247
O 0.961 0.409 0.210



Entry from Alexandria via LeMat-Bulk: a relaxed BiP4O12 crystal (PBEsol).

Results
Its crystal system is monoclinic. The distance to the lowest polymorph of the same formula is 0.19 eV per formula unit. Its energy is -7.22 eV/atom.

Unit cell a=7.230 b=8.324 c=7.757 alpha=90.00 beta=91.74 gamma=90.00
Element x y z (fractional)
Bi 0.240 0.000 0.247
Bi 0.760 0.500 0.753
P 0.003 0.150 0.619
P 0.098 0.415 0.095
P 0.391 0.250 0.594
P 0.436 0.628 0.091
P 0.564 0.128 0.909
P 0.609 0.750 0.406
P 0.902 0.915 0.905
P 0.997 0.650 0.381
O 0.006 0.046 0.793
O 0.017 0.428 0.914
O 0.026 0.042 0.467
O 0.092 0.254 0.180
O 0.166 0.756 0.385
O 0.183 0.256 0.657
O 0.310 0.472 0.089
O 0.327 0.780 0.065
O 0.395 0.201 0.408
O 0.408 0.110 0.031
O 0.474 0.411 0.637
O 0.481 0.113 0.714
O 0.519 0.613 0.286
O 0.526 0.911 0.363
O 0.592 0.610 0.969
O 0.605 0.701 0.592
O 0.673 0.280 0.935
O 0.690 0.972 0.911
O 0.817 0.756 0.343
O 0.834 0.256 0.615
O 0.908 0.754 0.820
O 0.974 0.542 0.533
O 0.983 0.928 0.086
O 0.994 0.546 0.207



Entry from Alexandria via LeMat-Bulk: a relaxed BiP4O12 crystal (PBEsol).

Results
Its crystal system is monoclinic. The distance to the lowest polymorph of the same formula is 0.00 eV per formula unit. Its energy is -7.24 eV/atom.

Unit cell a=8.788 b=8.788 c=9.400 alpha=121.60 beta=121.60 gamma=47.98
Element x y z (fractional)
Bi 0.213 0.787 0.750
Bi 0.787 0.213 0.250
P 0.015 0.273 0.688
P 0.273 0.015 0.188
P 0.336 0.385 0.877
P 0.385 0.336 0.377
P 0.615 0.664 0.623
P 0.664 0.615 0.123
P 0.727 0.985 0.812
P 0.985 0.727 0.312
O 0.008 0.115 0.698
O 0.026 0.247 0.521
O 0.115 0.008 0.198
O 0.184 0.571 0.800
O 0.191 0.497 0.260
O 0.203 0.299 0.844
O 0.247 0.026 0.021
O 0.299 0.203 0.344
O 0.421 0.449 0.567
O 0.429 0.816 0.700
O 0.449 0.421 0.067
O 0.497 0.191 0.760
O 0.503 0.809 0.240
O 0.551 0.579 0.933
O 0.571 0.184 0.300
O 0.579 0.551 0.433
O 0.701 0.797 0.656
O 0.753 0.974 0.979
O 0.797 0.701 0.156
O 0.809 0.503 0.740
O 0.816 0.429 0.200
O 0.885 0.992 0.802
O 0.974 0.753 0.479
O 0.992 0.885 0.302



Entry from Alexandria via LeMat-Bulk: a relaxed Bi2P3O12 crystal (PBEsol).

Results
Its crystal system is monoclinic. The distance to the lowest polymorph of the same formula is 0.08 eV per formula unit. Its energy is -6.90 eV/atom.

Unit cell a=8.652 b=9.122 c=14.758 alpha=90.00 beta=124.33 gamma=90.00
Element x y z (fractional)
Bi 0.130 0.033 0.384
Bi 0.130 0.467 0.884
Bi 0.365 0.040 0.114
Bi 0.365 0.460 0.614
Bi 0.635 0.540 0.386
Bi 0.635 0.960 0.886
Bi 0.870 0.533 0.116
Bi 0.870 0.967 0.616
P 0.040 0.619 0.644
P 0.040 0.881 0.144
P 0.264 0.126 0.664
P 0.264 0.374 0.164
P 0.451 0.749 0.493
P 0.451 0.751 0.993
P 0.549 0.249 0.007
P 0.549 0.251 0.507
P 0.736 0.626 0.836
P 0.736 0.874 0.336
P 0.960 0.119 0.856
P 0.960 0.381 0.356
O 0.063 0.727 0.193
O 0.063 0.773 0.693
O 0.116 0.001 0.231
O 0.116 0.499 0.731
O 0.142 0.087 0.706
O 0.142 0.413 0.206
O 0.149 0.609 0.588
O 0.149 0.891 0.088
O 0.156 0.105 0.540
O 0.156 0.395 0.040
O 0.174 0.099 0.945
O 0.174 0.401 0.445
O 0.251 0.693 0.944
O 0.251 0.807 0.444
O 0.318 0.209 0.196
O 0.318 0.291 0.696
O 0.406 0.130 0.440
O 0.406 0.370 0.940
O 0.443 0.028 0.719
O 0.443 0.472 0.219
O 0.455 0.694 0.394
O 0.455 0.806 0.894
O 0.496 0.622 0.576
O 0.496 0.878 0.076
O 0.504 0.122 0.924
O 0.504 0.378 0.424
O 0.545 0.194 0.106
O 0.545 0.306 0.606
O 0.557 0.528 0.781
O 0.557 0.972 0.281
O 0.594 0.630 0.060
O 0.594 0.870 0.560
O 0.682 0.709 0.304
O 0.682 0.791 0.804
O 0.749 0.193 0.556
O 0.749 0.307 0.056
O 0.826 0.599 0.555
O 0.826 0.901 0.055
O 0.844 0.605 0.960
O 0.844 0.895 0.460
O 0.851 0.109 0.912
O 0.851 0.391 0.412
O 0.858 0.587 0.794
O 0.858 0.913 0.294
O 0.884 0.501 0.269
O 0.884 0.999 0.769
O 0.937 0.227 0.307
O 0.937 0.273 0.807



Entry from Alexandria via LeMat-Bulk: a relaxed Bi3P2O10 crystal (PBEsol).

Results
Its crystal system is triclinic. The distance to the lowest polymorph of the same formula is 0.27 eV per formula unit. Its energy is -6.82 eV/atom.

Unit cell a=5.450 b=6.787 c=7.003 alpha=68.86 beta=67.25 gamma=86.87
Element x y z (fractional)
Bi 0.000 0.000 0.000
Bi 0.206 0.274 0.425
Bi 0.554 0.422 0.708
P 0.328 0.820 0.350
P 0.887 0.476 0.092
O 0.110 0.942 0.464
O 0.117 0.327 0.033
O 0.267 0.580 0.501
O 0.328 0.851 0.120
O 0.364 0.160 0.692
O 0.606 0.896 0.325
O 0.638 0.399 0.076
O 0.832 0.452 0.336
O 0.852 0.196 0.742
O 0.995 0.705 0.930



Entry from Alexandria via LeMat-Bulk: a relaxed BiPO4 crystal (PBEsol).

Results
Its crystal system is orthorhombic. Its energy is -7.15 eV/atom.

Unit cell a=4.715 b=4.715 c=7.177 alpha=90.00 beta=90.00 gamma=84.36
Element x y z (fractional)
Bi 0.136 0.864 0.750
Bi 0.864 0.136 0.250
P 0.345 0.655 0.250
P 0.655 0.345 0.750
O 0.190 0.810 0.081
O 0.190 0.810 0.419
O 0.314 0.332 0.250
O 0.332 0.314 0.750
O 0.668 0.686 0.250
O 0.686 0.668 0.750
O 0.810 0.190 0.581
O 0.810 0.190 0.919



Entry from Alexandria via LeMat-Bulk: a relaxed BiP2O7 crystal (PBEsol).

Results
Its crystal system is monoclinic. The distance to the lowest polymorph of the same formula is 0.00 eV per formula unit. Its energy is -7.09 eV/atom.

Unit cell a=5.135 b=8.624 c=7.393 alpha=90.00 beta=109.75 gamma=90.00
Element x y z (fractional)
Bi 0.216 0.000 0.225
Bi 0.784 0.500 0.775
P 0.206 0.732 0.600
P 0.405 0.316 0.015
P 0.595 0.816 0.985
P 0.794 0.232 0.400
O 0.054 0.200 0.347
O 0.113 0.831 0.419
O 0.216 0.457 0.971
O 0.258 0.159 0.996
O 0.363 0.585 0.585
O 0.401 0.808 0.104
O 0.410 0.842 0.763
O 0.590 0.342 0.237
O 0.599 0.308 0.896
O 0.637 0.085 0.415
O 0.742 0.659 0.004
O 0.784 0.957 0.029
O 0.887 0.331 0.581
O 0.946 0.700 0.653



Entry from Alexandria via LeMat-Bulk: a relaxed BiP2O7 crystal (PBEsol).

Results
Its crystal system is monoclinic. The distance to the lowest polymorph of the same formula is 0.04 eV per formula unit. Its energy is -7.08 eV/atom.

Unit cell a=7.526 b=8.749 c=10.071 alpha=90.00 beta=110.73 gamma=90.00
Element x y z (fractional)
Bi 0.241 0.004 0.247
Bi 0.241 0.496 0.747
Bi 0.759 0.504 0.253
Bi 0.759 0.996 0.753
P 0.181 0.703 0.439
P 0.181 0.797 0.939
P 0.420 0.245 0.541
P 0.420 0.255 0.041
P 0.580 0.745 0.959
P 0.580 0.755 0.459
P 0.819 0.203 0.061
P 0.819 0.297 0.561
O 0.056 0.588 0.334
O 0.056 0.912 0.834
O 0.141 0.628 0.896
O 0.141 0.872 0.396
O 0.183 0.691 0.591
O 0.183 0.809 0.091
O 0.290 0.141 0.076
O 0.290 0.359 0.576
O 0.330 0.211 0.381
O 0.330 0.289 0.881
O 0.388 0.660 0.437
O 0.388 0.840 0.937
O 0.469 0.102 0.633
O 0.469 0.398 0.133
O 0.531 0.602 0.867
O 0.531 0.898 0.367
O 0.612 0.160 0.063
O 0.612 0.340 0.563
O 0.670 0.711 0.119
O 0.670 0.789 0.619
O 0.710 0.641 0.424
O 0.710 0.859 0.924
O 0.817 0.191 0.909
O 0.817 0.309 0.409
O 0.859 0.128 0.604
O 0.859 0.372 0.104
O 0.944 0.088 0.166
O 0.944 0.412 0.666



Entry from Alexandria via LeMat-Bulk: a relaxed Bi11PO20 crystal (PBEsol).

Results
Its crystal system is triclinic. Its energy is -6.21 eV/atom.

Unit cell a=8.622 b=8.744 c=8.838 alpha=108.22 beta=109.83 gamma=109.46
Element x y z (fractional)
Bi 0.000 0.000 0.000
Bi 0.028 0.369 0.666
Bi 0.166 0.519 0.353
Bi 0.244 0.960 0.730
Bi 0.301 0.206 0.483
Bi 0.376 0.457 0.097
Bi 0.627 0.027 0.659
Bi 0.666 0.211 0.178
Bi 0.718 0.571 0.545
Bi 0.815 0.872 0.350
Bi 0.879 0.544 0.999
P 0.492 0.731 0.846
O 0.087 0.962 0.230
O 0.100 0.303 0.447
O 0.147 0.556 0.096
O 0.158 0.126 0.629
O 0.261 0.089 0.982
O 0.278 0.344 0.257
O 0.299 0.739 0.784
O 0.320 0.920 0.513
O 0.441 0.540 0.834
O 0.539 0.134 0.876
O 0.559 0.720 0.357
O 0.559 0.751 0.707
O 0.645 0.464 0.227
O 0.649 0.886 0.043
O 0.753 0.329 0.728
O 0.779 0.093 0.483
O 0.887 0.321 0.124
O 0.891 0.455 0.488
O 0.924 0.712 0.855
O 0.936 0.821 0.592



Entry from Alexandria via LeMat-Bulk: a relaxed BiPO4 crystal (PBEsol).

Results
Its crystal system is trigonal. Its energy is -7.14 eV/atom.

Unit cell a=6.985 b=6.985 c=6.410 alpha=90.00 beta=90.00 gamma=120.00
Element x y z (fractional)
Bi 0.000 0.519 0.167
Bi 0.481 0.481 0.500
Bi 0.519 0.000 0.833
P 0.000 0.557 0.667
P 0.443 0.443 0.000
P 0.557 0.000 0.333
O 0.128 0.495 0.507
O 0.153 0.758 0.804
O 0.242 0.395 0.137
O 0.367 0.872 0.174
O 0.395 0.242 0.863
O 0.495 0.128 0.493
O 0.505 0.633 0.841
O 0.605 0.847 0.471
O 0.633 0.505 0.159
O 0.758 0.153 0.196
O 0.847 0.605 0.529
O 0.872 0.367 0.826